Crystalline Rb2SrZn3F12 at its relaxed geometry, computed with PBE.

Its energy is -4.1271 eV/atom. The space group is No. 166. Its total magnetization is 2.10 Bohr magnetons per cell.

Geometry as POSCAR:
```
Rb2SrZn3F12
1.0
-0.311 -5.624 -4.554
-3.563 -5.844 2.372
-6.437 -1.284 -3.063
Rb Sr Zn F
2 1 3 12
direct
0.612 0.612 0.612
0.388 0.388 0.388
0.000 0.000 0.000
0.500 0.000 0.000
0.000 0.500 0.000
0.000 0.000 0.500
0.278 0.278 0.898
0.877 0.877 0.409
0.409 0.877 0.877
0.898 0.278 0.278
0.877 0.409 0.877
0.278 0.898 0.278
0.722 0.722 0.102
0.123 0.123 0.591
0.591 0.123 0.123
0.102 0.722 0.722
0.123 0.591 0.123
0.722 0.102 0.722
```

Crystalline RbSrZn2F8 at its relaxed geometry, computed with PBE.

Its energy is -4.2000 eV/atom. The space group is No. 155. Its total magnetization is 1.21 Bohr magnetons per cell.

Geometry as POSCAR:
```
RbSrZn2F8
1.0
5.670 0.000 0.000
2.835 4.911 0.000
2.835 1.637 7.808
Rb Sr Zn F
1 1 2 8
direct
0.000 0.000 0.000
0.500 0.500 0.500
0.744 0.744 0.768
0.256 0.256 0.232
0.664 0.664 0.008
0.336 0.336 0.992
0.550 0.224 0.311
0.776 0.450 0.689
0.085 0.776 0.689
0.224 0.915 0.311
0.915 0.550 0.311
0.450 0.085 0.689
```

Crystalline Rb2TaF7 at its relaxed geometry, computed with PBE.

Its energy is -5.5660 eV/atom. The space group is No. 225. Its total magnetization is 0.00 Bohr magnetons per cell. The relative energy among the computed polymorphs is 0.3358 eV/atom.

Geometry as POSCAR:
```
Rb2TaF7
1.0
6.711 0.000 0.000
0.000 6.711 0.000
3.355 3.355 4.745
F Rb Ta
7 2 1
direct
0.500 0.500 0.000
0.203 0.203 0.595
0.797 0.797 0.405
0.203 0.203 0.000
0.797 0.797 0.000
0.797 0.203 0.000
0.203 0.797 0.000
0.750 0.250 0.500
0.250 0.750 0.500
0.000 0.000 0.000
```

Crystalline RbTa2F at its relaxed geometry, computed with PBE.

Its energy is -5.6487 eV/atom. The space group is No. 141. Its total magnetization is 0.00 Bohr magnetons per cell. The relative energy among the computed polymorphs is 0.0000 eV/atom.

Geometry as POSCAR:
```
RbTa2F
1.0
6.699 0.000 0.000
0.000 6.699 0.000
3.349 3.349 4.753
F Rb Ta
2 2 4
direct
0.500 0.500 0.000
0.250 0.750 0.500
0.000 0.000 0.000
0.750 0.250 0.500
0.375 0.125 0.250
0.375 0.625 0.250
0.375 0.625 0.750
0.875 0.625 0.750
```

Crystalline Rb2TaF8 at its relaxed geometry, computed with PBE.

Its energy is -5.4826 eV/atom. The space group is No. 2. Its total magnetization is 1.00 Bohr magnetons per cell.

Geometry as POSCAR:
```
Rb2TaF8
1.0
4.652 -0.342 -1.725
-2.490 6.421 -0.085
-3.083 0.665 10.114
F Rb Ta
8 2 1
direct
0.408 0.906 0.155
0.405 0.252 0.987
0.845 0.588 0.449
0.992 0.840 0.829
0.155 0.412 0.551
0.595 0.748 0.013
0.592 0.094 0.845
0.008 0.160 0.171
0.889 0.426 0.715
0.111 0.574 0.285
0.500 0.000 0.000
```

Crystalline RbTaF5 at its relaxed geometry, computed with PBE.

Its energy is -6.1826 eV/atom. The space group is No. 15. Its total magnetization is 2.00 Bohr magnetons per cell.

Geometry as POSCAR:
```
RbTaF5
1.0
6.329 -0.009 1.391
1.420 6.168 1.391
0.842 0.670 8.169
Rb Ta F
2 2 10
direct
0.501 0.499 0.750
0.499 0.501 0.250
0.000 0.000 0.000
0.000 0.000 0.500
0.225 0.188 0.898
0.264 0.761 0.495
0.188 0.225 0.398
0.999 0.001 0.750
0.239 0.736 0.005
0.761 0.264 0.995
0.001 0.999 0.250
0.812 0.775 0.602
0.736 0.239 0.505
0.775 0.812 0.102
```

Crystalline RbTaF3 at its relaxed geometry, computed with PBE.

Its energy is -5.6257 eV/atom. The space group is No. 221. Its total magnetization is 2.96 Bohr magnetons per cell. The relative energy among the computed polymorphs is 0.0000 eV/atom.

Geometry as POSCAR:
```
RbTaF3
1.0
-2.307 -3.720 -0.758
0.788 -1.337 4.162
-3.713 2.027 1.354
F Rb Ta
3 1 1
direct
0.000 0.500 0.000
0.000 0.000 0.500
0.500 0.000 0.000
0.500 0.500 0.500
0.000 0.000 0.000
```

Crystalline Rb2TaF7 at its relaxed geometry, computed with PBE.

Its energy is -5.9017 eV/atom. The space group is No. 59. Its total magnetization is 0.06 Bohr magnetons per cell. The relative energy among the computed polymorphs is 0.0000 eV/atom.

Geometry as POSCAR:
```
Rb2TaF7
1.0
6.070 0.000 0.000
0.000 6.025 0.000
0.000 0.000 10.560
Rb Ta F
4 2 14
direct
0.000 0.500 0.359
0.500 0.000 0.641
0.500 0.500 0.997
0.000 0.000 0.003
0.000 0.500 0.756
0.500 0.000 0.244
0.212 0.261 0.796
0.288 0.239 0.204
0.712 0.761 0.204
0.788 0.739 0.796
0.212 0.739 0.796
0.712 0.239 0.204
0.288 0.761 0.204
0.788 0.261 0.796
0.000 0.500 0.947
0.500 0.000 0.053
0.198 0.500 0.606
0.802 0.500 0.606
0.302 0.000 0.394
0.698 0.000 0.394
```

Crystalline RbTa3F at its relaxed geometry, computed with PBE.

Its energy is -6.4124 eV/atom. The space group is No. 221. Its total magnetization is 0.00 Bohr magnetons per cell. The relative energy among the computed polymorphs is 0.0000 eV/atom.

Geometry as POSCAR:
```
RbTa3F
1.0
-4.175 -1.240 1.530
1.944 -3.169 2.737
0.315 3.120 3.388
F Rb Ta
1 1 3
direct
0.000 0.000 0.000
0.500 0.500 0.500
0.000 0.500 0.000
0.000 0.000 0.500
0.500 0.000 0.000
```

Crystalline Rb3TaF12 at its relaxed geometry, computed with PBE.

Its energy is -4.4436 eV/atom. The space group is No. 12. Its total magnetization is 4.12 Bohr magnetons per cell. The relative energy among the computed polymorphs is 0.0000 eV/atom.

Geometry as POSCAR:
```
Rb3TaF12
1.0
-8.254 -2.500 0.297
6.264 -5.250 -2.770
1.539 0.049 7.244
Ta Rb F
1 3 12
direct
0.000 0.000 0.000
0.000 0.000 0.500
0.000 0.500 0.000
0.500 0.000 0.000
0.235 0.088 0.242
0.765 0.912 0.758
0.778 0.936 0.091
0.912 0.765 0.758
0.222 0.064 0.909
0.088 0.235 0.242
0.101 0.695 0.724
0.064 0.222 0.909
0.899 0.305 0.276
0.936 0.778 0.091
0.305 0.899 0.276
0.695 0.101 0.724
```

Crystalline Rb3TaF at its relaxed geometry, computed with PBE.

Its energy is -3.2346 eV/atom. The space group is No. 221. Its total magnetization is 5.00 Bohr magnetons per cell. The relative energy among the computed polymorphs is 0.0000 eV/atom.

Geometry as POSCAR:
```
Rb3TaF
1.0
-0.625 -5.709 -0.198
0.734 -0.278 5.693
-5.666 0.594 0.760
F Rb Ta
1 3 1
direct
0.000 0.000 0.000
0.000 0.500 0.000
0.000 0.000 0.500
0.500 0.000 0.000
0.500 0.500 0.500
```

Crystalline Rb3TaF6 at its relaxed geometry, computed with PBE.

Its energy is -5.2510 eV/atom. The space group is No. 225. Its total magnetization is 1.79 Bohr magnetons per cell.

Geometry as POSCAR:
```
Rb3TaF6
1.0
0.000 4.767 4.767
4.767 0.000 4.767
4.767 4.767 0.000
Rb Ta F
3 1 6
direct
0.750 0.750 0.750
0.250 0.250 0.250
0.500 0.500 0.500
0.000 0.000 0.000
0.218 0.782 0.218
0.782 0.218 0.218
0.782 0.218 0.782
0.218 0.218 0.782
0.782 0.782 0.218
0.218 0.782 0.782
```

Which formula does entry 6 have? RbTaF5

Look up the energy of the ninth one. -6.4124 eV/atom